# 1
DFT (PBE-GGA) results for crystalline CdAsPd3 at its relaxed geometry.

a = 4.9150 Å, b = 4.9150 Å, c = 4.9150 Å
α = 90.00°, β = 90.00°, γ = 90.00°
Positions (direct):
Cd 0.0000 0.0000 0.0000
As 0.5000 0.5000 0.5000
Pd 0.0000 0.0000 0.5000
Pd 0.0000 0.5000 0.0000
Pd 0.5000 0.0000 0.0000

Calculated values
Formation energy in eV per atom: 0.9345
Relative energy among the computed polymorphs in meV/atom: 1257
Symmetry: Pm-3m

***

# 2
DFT (PBE-GGA) results for crystalline In4Hg8Pb at its relaxed geometry.

a = 10.1106 Å, b = 10.1106 Å, c = 14.5027 Å
α = 131.69°, β = 131.69°, γ = 19.14°
Positions (direct):
In 0.0000 0.0000 0.0000
In 0.2757 0.2757 0.6315
In 0.5844 0.5844 0.4694
In 0.8931 0.8931 0.3294
Hg 0.0250 0.0250 0.2312
Hg 0.1058 0.1058 0.6756
Hg 0.3158 0.3158 0.8730
Hg 0.3365 0.3365 0.0984
Hg 0.4120 0.4120 0.5319
Hg 0.6868 0.6868 0.1581
Hg 0.7188 0.7188 0.3923
Hg 0.9502 0.9502 0.7523
Pb 0.6387 0.6387 0.9010

Calculated values
Formation energy in eV per atom: 0.0215
Relative energy among the computed polymorphs in meV/atom: 0
Symmetry: Cm

***

# 3
DFT (PBE-GGA) results for crystalline Li6MgCd3 at its relaxed geometry.

a = 8.9140 Å, b = 8.9140 Å, c = 5.2760 Å
α = 90.00°, β = 90.00°, γ = 111.47°
Positions (direct):
Li 0.0324 0.4645 0.0974
Li 0.0364 0.9636 0.5000
Li 0.2540 0.7460 0.3603
Li 0.3102 0.4219 0.2620
Li 0.4219 0.3102 0.7620
Li 0.4645 0.0324 0.5974
Li 0.5355 0.9676 0.0974
Li 0.5781 0.6898 0.2620
Li 0.6898 0.5781 0.7620
Li 0.7460 0.2540 0.8603
Li 0.9636 0.0364 0.0000
Li 0.9676 0.5355 0.5974
Mg 0.1701 0.8299 0.8863
Mg 0.8299 0.1701 0.3863
Cd 0.1138 0.3034 0.6965
Cd 0.3034 0.1138 0.1965
Cd 0.3692 0.6308 0.7969
Cd 0.6308 0.3692 0.2969
Cd 0.6966 0.8862 0.6965
Cd 0.8862 0.6966 0.1965

Calculated values
Formation energy in eV per atom: -0.1079
Relative energy among the computed polymorphs in meV/atom: 71
Symmetry: Cmc2_1

***

# 4
DFT (PBE-GGA) results for crystalline Ca2Al2Si3 at its relaxed geometry.

a = 8.2080 Å, b = 8.2080 Å, c = 11.8193 Å
α = 124.35°, β = 124.35°, γ = 28.74°
Positions (direct):
Ca 0.1131 0.1131 0.4572
Ca 0.2309 0.2309 0.8352
Ca 0.7691 0.7691 0.1648
Ca 0.8869 0.8869 0.5428
Al 0.0852 0.0852 0.1487
Al 0.4641 0.4641 0.1939
Al 0.5359 0.5359 0.8061
Al 0.9148 0.9148 0.8513
Si 0.1124 0.1124 0.9594
Si 0.3422 0.3422 0.6988
Si 0.4304 0.4304 0.3830
Si 0.5696 0.5696 0.6170
Si 0.6578 0.6578 0.3012
Si 0.8876 0.8876 0.0406

Calculated values
Formation energy from raw total energies in meV per atom: -318.5
Symmetry: C2/m

***

# 5
DFT (PBE-GGA) results for crystalline Ac3InPb at its relaxed geometry.

a = 4.5017 Å, b = 8.8860 Å, c = 10.2638 Å
α = 104.44°, β = 90.01°, γ = 104.66°
Positions (direct):
Ac 0.0669 0.1339 0.3971
Ac 0.1332 0.2663 0.9734
Ac 0.2562 0.5130 0.6819
Ac 0.7438 0.4870 0.3181
Ac 0.8668 0.7337 0.0266
Ac 0.9331 0.8661 0.6029
In 0.4613 0.9213 0.8556
In 0.5387 0.0787 0.1444
Pb 0.3979 0.7957 0.3104
Pb 0.6021 0.2043 0.6896

Calculated values
Formation energy in eV per atom: -0.3143
Symmetry: P-1

***

# 6
DFT (PBE-GGA) results for crystalline NaCr2BMo at its relaxed geometry.

a = 4.0278 Å, b = 4.0278 Å, c = 4.2866 Å
α = 90.00°, β = 90.00°, γ = 90.00°
Positions (direct):
Na 0.0000 0.0000 0.0000
Cr 0.0000 0.5000 0.5000
Cr 0.5000 0.0000 0.5000
B 0.5000 0.5000 0.5000
Mo 0.5000 0.5000 0.0000

Calculated values
Formation energy in eV per atom: 0.8368
Symmetry: P4/mmm

***

# 7
DFT (PBE-GGA) results for crystalline SbSeS2 at its relaxed geometry.

a = 4.8148 Å, b = 4.8148 Å, c = 4.8148 Å
α = 60.00°, β = 60.00°, γ = 60.00°
Positions (direct):
Sb 0.0000 0.0000 0.0000
Se 0.5000 0.5000 0.5000
S 0.2500 0.2500 0.2500
S 0.7500 0.7500 0.7500

Calculated values
Relative energy among the computed polymorphs in meV/atom: 509
Formation energy from raw total energies in meV per atom: 465.9
Symmetry: Fm-3m

***

# 8
DFT (PBE-GGA) results for crystalline Fe2BSb4 at its relaxed geometry.

a = 7.2050 Å, b = 7.2050 Å, c = 7.2050 Å
α = 140.76°, β = 140.76°, γ = 56.70°
Positions (direct):
Fe 0.0941 0.0941 0.0000
Fe 0.9059 0.9059 0.0000
B 0.5000 0.5000 0.0000
Sb 0.0000 0.5000 0.5000
Sb 0.2928 0.2928 0.0000
Sb 0.5000 0.0000 0.5000
Sb 0.7072 0.7072 0.0000

Calculated values
Formation energy from raw total energies in meV per atom: 748.8
Symmetry: I4/mmm

***

# 9
DFT (PBE-GGA) results for crystalline PrHo6Mg at its relaxed geometry.

a = 6.3893 Å, b = 6.3893 Å, c = 8.6959 Å
α = 110.86°, β = 110.86°, γ = 48.91°
Positions (direct):
Pr 0.0000 0.0000 0.0000
Ho 0.2258 0.2258 0.3860
Ho 0.2506 0.2506 0.8564
Ho 0.4890 0.4890 0.2736
Ho 0.5110 0.5110 0.7264
Ho 0.7494 0.7494 0.1436
Ho 0.7742 0.7742 0.6140
Mg 0.0000 0.0000 0.5000

Calculated values
Formation energy in eV per atom: 0.0386
Relative energy among the computed polymorphs in meV/atom: 0
Symmetry: C2/m

***

# 10
DFT (PBE-GGA) results for crystalline Rb4TbCe3S8 at its relaxed geometry.

a = 9.0896 Å, b = 9.0896 Å, c = 9.0896 Å
α = 55.21°, β = 55.21°, γ = 55.21°
Positions (direct):
Rb 0.0000 0.0000 0.0000
Rb 0.0000 0.5000 0.5000
Rb 0.5000 0.0000 0.5000
Rb 0.5000 0.5000 0.0000
Tb 0.5000 0.5000 0.5000
Ce 0.0000 0.0000 0.5000
Ce 0.0000 0.5000 0.0000
Ce 0.5000 0.0000 0.0000
S 0.2322 0.2322 0.2322
S 0.2379 0.7282 0.7282
S 0.2718 0.2718 0.7621
S 0.2718 0.7621 0.2718
S 0.7282 0.2379 0.7282
S 0.7282 0.7282 0.2379
S 0.7621 0.2718 0.2718
S 0.7678 0.7678 0.7678

Calculated values
Formation energy from raw total energies in meV per atom: -1782.7
Symmetry: R-3m

***

# 11
DFT (PBE-GGA) results for crystalline LaZn2Rh2 at its relaxed geometry.

a = 7.4765 Å, b = 7.4765 Å, c = 3.1093 Å
α = 90.00°, β = 90.00°, γ = 90.00°
Positions (direct):
La 0.0000 0.0000 0.0000
La 0.5000 0.5000 0.0000
Zn 0.1293 0.3707 0.5000
Zn 0.3707 0.8707 0.5000
Zn 0.6293 0.1293 0.5000
Zn 0.8707 0.6293 0.5000
Rh 0.1627 0.6627 0.0000
Rh 0.3373 0.1627 0.0000
Rh 0.6627 0.8373 0.0000
Rh 0.8373 0.3373 0.0000

Calculated values
Formation energy in eV per atom: -0.5193
Relative energy among the computed polymorphs in meV/atom: 21
Symmetry: P4/mbm

***

# 12
DFT (PBE-GGA) results for crystalline CeY2Tm3 at its relaxed geometry.

a = 8.8123 Å, b = 8.8123 Å, c = 5.7571 Å
α = 109.02°, β = 109.02°, γ = 65.22°
Positions (direct):
Ce 0.0000 0.0000 0.0000
Ce 0.0000 0.0000 0.5000
Y 0.1487 0.5868 0.6177
Y 0.4132 0.8513 0.8823
Y 0.5868 0.1487 0.1177
Y 0.8513 0.4132 0.3823
Tm 0.1502 0.3177 0.9843
Tm 0.3177 0.1502 0.4843
Tm 0.3902 0.6098 0.2500
Tm 0.6098 0.3902 0.7500
Tm 0.6823 0.8498 0.5157
Tm 0.8498 0.6823 0.0157

Calculated values
Formation energy in eV per atom: 0.1252
Relative energy among the computed polymorphs in meV/atom: 0
Symmetry: C2/c

***

# 13
DFT (PBE-GGA) results for crystalline Sc2ZnTe at its relaxed geometry.

a = 4.9802 Å, b = 4.9802 Å, c = 3.5394 Å
α = 90.09°, β = 90.09°, γ = 101.79°
Positions (direct):
Sc 0.0000 0.5000 0.0000
Sc 0.5000 0.0000 0.0000
Zn 0.0000 0.0000 0.5000
Te 0.5000 0.5000 0.5000

Calculated values
Relative energy among the computed polymorphs in meV/atom: 118
Formation energy from raw total energies in meV per atom: -504.5
Symmetry: C2/m

***

# 14
DFT (PBE-GGA) results for crystalline LaTl at its relaxed geometry.

a = 6.5099 Å, b = 6.5099 Å, c = 6.5099 Å
α = 140.59°, β = 134.01°, γ = 62.13°
Positions (direct):
La 0.3676 0.1176 0.2500
La 0.6324 0.8824 0.7500
Tl 0.1014 0.3514 0.7500
Tl 0.8986 0.6486 0.2500

Calculated values
Formation energy in eV per atom: -0.3909
Symmetry: Imma

***

# 15
DFT (PBE-GGA) results for crystalline PmNd2Ho6Er at its relaxed geometry.

a = 8.7523 Å, b = 8.7523 Å, c = 9.7518 Å
α = 94.93°, β = 94.93°, γ = 118.05°
Positions (direct):
Pm 0.0953 0.9047 0.7500
Pm 0.9047 0.0953 0.2500
Nd 0.2083 0.3109 0.9583
Nd 0.3109 0.2083 0.4583
Nd 0.6891 0.7917 0.5417
Nd 0.7917 0.6891 0.0417
Ho 0.0013 0.7927 0.3796
Ho 0.0796 0.5273 0.1855
Ho 0.2073 0.9987 0.1204
Ho 0.2439 0.6235 0.5569
Ho 0.3765 0.7561 0.9431
Ho 0.4727 0.9204 0.3145
Ho 0.5273 0.0796 0.6855
Ho 0.6235 0.2439 0.0569
Ho 0.7561 0.3765 0.4431
Ho 0.7927 0.0013 0.8796
Ho 0.9204 0.4727 0.8145
Ho 0.9987 0.2073 0.6204
Er 0.4826 0.5174 0.2500
Er 0.5174 0.4826 0.7500

Calculated values
Formation energy in eV per atom: 0.1221
Symmetry: C2/c

***

# 16
DFT (PBE-GGA) results for crystalline NaCO3 at its relaxed geometry.

a = 3.4201 Å, b = 3.4201 Å, c = 3.4201 Å
α = 90.00°, β = 90.00°, γ = 90.00°
Positions (direct):
Na 0.0000 0.0000 0.0000
C 0.5000 0.5000 0.5000
O 0.0000 0.5000 0.5000
O 0.5000 0.0000 0.5000
O 0.5000 0.5000 0.0000

Calculated values
Formation energy from raw total energies in meV per atom: 390.1
Symmetry: Pm-3m

***

# 17
DFT (PBE-GGA) results for crystalline Na3PuHf2Te6 at its relaxed geometry.

a = 7.3512 Å, b = 7.3512 Å, c = 8.0488 Å
α = 98.81°, β = 98.81°, γ = 120.12°
Positions (direct):
Na 0.0000 0.0000 0.0000
Na 0.3422 0.6578 0.0000
Na 0.6578 0.3422 0.0000
Pu 0.5000 0.5000 0.5000
Hf 0.1690 0.8310 0.5000
Hf 0.8310 0.1690 0.5000
Te 0.0693 0.4233 0.2726
Te 0.2200 0.2200 0.7240
Te 0.4233 0.0693 0.2726
Te 0.5767 0.9307 0.7274
Te 0.7800 0.7800 0.2760
Te 0.9307 0.5767 0.7274

Calculated values
Formation energy from raw total energies in meV per atom: -898.6
Symmetry: C2/m

***

# 18
DFT (PBE-GGA) results for crystalline DyTm3Ir8 at its relaxed geometry.

a = 5.3383 Å, b = 5.3383 Å, c = 8.6754 Å
α = 90.00°, β = 90.00°, γ = 120.00°
Positions (direct):
Dy 0.0000 0.0000 0.0000
Tm 0.0000 0.0000 0.3666
Tm 0.6667 0.3333 0.4993
Tm 0.6667 0.3333 0.8652
Ir 0.1632 0.3263 0.6820
Ir 0.1632 0.8368 0.6820
Ir 0.3333 0.6667 0.4325
Ir 0.3333 0.6667 0.9324
Ir 0.5036 0.0072 0.1834
Ir 0.5036 0.4964 0.1834
Ir 0.6737 0.8368 0.6820
Ir 0.9928 0.4964 0.1834

Calculated values
Formation energy in eV per atom: -0.8357
Relative energy among the computed polymorphs in meV/atom: 0
Symmetry: P3m1

***

# 19
DFT (PBE-GGA) results for crystalline YTh3Si4 at its relaxed geometry.

a = 8.7657 Å, b = 8.7657 Å, c = 8.7657 Å
α = 152.34°, β = 137.90°, γ = 51.12°
Positions (direct):
Y 0.0000 0.0000 0.0000
Th 0.1946 0.6946 0.5000
Th 0.5000 0.5000 0.0000
Th 0.8054 0.3054 0.5000
Si 0.1796 0.8701 0.3094
Si 0.4393 0.1299 0.3094
Si 0.5607 0.8701 0.6906
Si 0.8204 0.1299 0.6906

Calculated values
Formation energy from raw total energies in meV per atom: -578.6
Symmetry: Immm

***

# 20
DFT (PBE-GGA) results for crystalline ReOsIO2 at its relaxed geometry.

a = 3.7867 Å, b = 3.7867 Å, c = 6.2109 Å
α = 90.00°, β = 90.00°, γ = 90.00°
Positions (direct):
Re 0.0000 0.0000 0.0000
Os 0.5000 0.5000 0.5000
I 0.0000 0.0000 0.5000
O 0.0000 0.5000 0.0000
O 0.5000 0.0000 0.0000

Calculated values
Relative energy among the computed polymorphs in meV/atom: 0
Formation energy from raw total energies in meV per atom: 282.7
Symmetry: P4/mmm

***

Table of mass density (Mg/m³), in record order: 7.08, 10.51, 3.43, 2.33, 8.68, 5.58, 5.57, 6.82, 7.79, 4.14, 9.09, 7.32, 5.47, 9.16, 8.12, 3.44, 6.66, 17.12, 7.14, 9.98
Table of total moment (μB/atom), in record order: 0.000, 0.000, 0.000, 0.000, 0.000, 0.000, 0.000, 0.557, 0.000, 0.189, 0.000, 0.143, 0.102, 0.000, 0.001, 0.031, 0.562, 0.000, 0.000, 0.246
Table of volume (Å³ per cell), in record order: 118.7, 358.8, 390.1, 311.3, 383.8, 69.5, 78.9, 148.4, 246.2, 471.9, 173.8, 374.3, 85.9, 124.5, 650.0, 40.0, 358.1, 214.1, 208.7, 89.1